Material: SrLiYAg
Method: DFT, GGA-PBE
State: optimized geometry

**VASP energy**: -13.1 eV/cell
**SG**: No. 216
**Formation enthalpy at 0 K**: -0.036 eV per atom
**Crystal system**: cubic

Cell lengths 5.3970, 5.3970, 5.3970 Å; angles 60.00, 60.00, 60.00 degrees
Atoms (fractional coordinates):
Y1 0.7500 0.7500 0.7500
Sr1 0.2500 0.2500 0.2500
Ag1 0.0000 0.0000 0.0000
Li1 0.5000 0.5000 0.5000